[1]
This record from Alexandria via LeMat-Bulk describes ZnAgSb2 after structural relaxation. The functional is GGA-PBEsol.

a = 3.083 Å, b = 3.959 Å, c = 7.146 Å
α = 90.00°, β = 90.00°, γ = 90.00°
Space group Pmm2 (No. 25)
Asymmetric unit:
Zn (0.000, 0.000, 0.000)
Ag (0.500, 0.500, 0.190)
Sb (0.000, 0.000, 0.407)
Sb (0.500, 0.500, 0.785)

Crystal system: orthorhombic


[2]
This record from Alexandria via LeMat-Bulk describes ZnAgSb2 after structural relaxation. The functional is GGA-PBEsol.

a = 4.611 Å, b = 4.611 Å, c = 8.010 Å
α = 90.00°, β = 90.00°, γ = 90.00°
Space group I4/mmm (No. 139)
Asymmetric unit:
Zn (0.000, 0.000, 0.000)
Ag (0.000, 0.000, 0.500)
Sb (0.000, 0.500, 0.250)

Crystal system: tetragonal


What did we get for uncorrected formation energy? Answer: 114 206 meV per atom, in the order shown.